1.
Here is crystalline TaBeIn2 at its relaxed geometry from Alexandria. Energies are from PBEsol.

Structure (POSCAR):
```
TaBeIn2
1.0
3.930 0.000 0.000
0.000 3.930 0.000
-1.965 -1.965 4.545
In Be Ta
2 1 1
Direct
0.000 0.000 0.000 In
0.750 0.250 0.500 In
0.250 0.750 0.500 Be
0.500 0.500 0.000 Ta
```

Output
- E_form (eV/atom) = 0.32
- symmetry = I-4m2 (119)

---

2.
Here is crystalline La2RuBr at its relaxed geometry from Alexandria. Energies are from PBEsol.

Structure (POSCAR):
```
La2RuBr
1.0
3.560 0.000 0.000
0.000 3.746 0.000
-1.780 -1.873 7.984
Br Ru La
1 1 2
Direct
0.301 0.801 0.602 Br
0.558 0.558 0.117 Ru
0.676 0.176 0.352 La
0.965 0.965 0.929 La
```

Output
- raw formation energy (kJ/mol of formula units) = -267
- offset from the most stable computed form (eV per atom) = 0.151
- symmetry = Imm2 (44)

---

3.
Here is crystalline CoHg2Cl at its relaxed geometry from Alexandria. Energies are from PBEsol.

Structure (POSCAR):
```
CoHg2Cl
1.0
-1.053 2.366 1.395
-1.806 -2.744 3.292
6.423 0.596 0.736
Co Hg Cl
1 2 1
Direct
0.231 0.731 0.463 Co
0.760 0.260 0.520 Hg
0.925 0.925 0.850 Hg
0.583 0.583 0.167 Cl
```

Output
- raw formation energy (kJ/mol of formula units) = 25
- offset from the most stable computed form (eV per atom) = 0.000
- symmetry = Imm2 (44)

---

4.
Here is crystalline CuTe2Mo at its relaxed geometry from Alexandria. Energies are from PBEsol.

Structure (POSCAR):
```
CuTe2Mo
1.0
-0.424 1.814 2.768
-1.660 -2.531 1.404
5.739 -2.403 2.455
Cu Te Mo
1 2 1
Direct
0.500 0.500 0.000 Cu
0.000 0.000 0.742 Te
0.000 0.000 0.258 Te
0.500 0.500 0.500 Mo
```

Output
- raw formation energy (kJ/mol of formula units) = 88
- offset from the most stable computed form (eV per atom) = 0.127
- symmetry = P4/mmm (123)

---

| no. | DOS(E_F) (states/eV per cell) |
| --- | --- |
| 1 | 1.59 |
| 2 | 2.47 |
| 3 | 2.14 |
| 4 | 2.29 |